Record 1
Here is crystalline MgScNb2 at its relaxed geometry from Alexandria via LeMat-Bulk. Energies are from PBE.

Summary:
- Mass density: 5.42 g/cm3
- Formation enthalpy at 0 K: 443 meV per atom
- ΔE to the lowest computed polymorph: 0 kJ/mol of formula units
- Crystal system: cubic
- M_tot: 0.000 μB/atom
- Symmetry: Fm-3m, No. 225

extended XYZ file:
```
4
Lattice="0.0000 3.3930 3.3930 3.3930 0.0000 3.3930 3.3930 3.3930 0.0000" Properties=species:S:1:pos:R:3 pbc="T T T"
Sc 3.3930 3.3930 3.3930
Nb 1.6965 1.6965 1.6965
Nb 5.0895 5.0895 5.0895
Mg 0.0000 0.0000 0.0000
```


Record 2
Here is crystalline MgScNb3 at its relaxed geometry from Alexandria via LeMat-Bulk. Energies are from PBE.

Summary:
- Mass density: 5.19 g/cm3
- Formation enthalpy at 0 K: 1447 meV per atom
- ΔE to the lowest computed polymorph: 0 kJ/mol of formula units
- Crystal system: cubic
- M_tot: 0.000 μB/atom
- Symmetry: Pm-3m, No. 221

extended XYZ file:
```
5
Lattice="4.8106 0.0000 0.0000 0.0000 4.8106 0.0000 0.0000 0.0000 4.8106" Properties=species:S:1:pos:R:3 pbc="T T T"
Sc 0.0000 0.0000 0.0000
Nb 0.0000 2.4053 0.0000
Nb 0.0000 0.0000 2.4053
Nb 2.4053 0.0000 0.0000
Mg 2.4053 2.4053 2.4053
```


Record 3
Here is crystalline Mg3ScNb at its relaxed geometry from Alexandria via LeMat-Bulk. Energies are from PBE.

Summary:
- Mass density: 2.51 g/cm3
- Formation enthalpy at 0 K: 1021 meV per atom
- Crystal system: cubic
- M_tot: 0.417 μB/atom
- Symmetry: Pm-3m, No. 221

extended XYZ file:
```
5
Lattice="5.1846 0.0000 0.0000 0.0000 5.1846 0.0000 0.0000 0.0000 5.1846" Properties=species:S:1:pos:R:3 pbc="T T T"
Sc 2.5923 2.5923 2.5923
Nb 0.0000 0.0000 0.0000
Mg 0.0000 2.5923 0.0000
Mg 0.0000 0.0000 2.5923
Mg 2.5923 0.0000 0.0000
```


Record 4
Here is crystalline MgScNb3 at its relaxed geometry from Alexandria via LeMat-Bulk. Energies are from PBE.

Summary:
- Mass density: 5.15 g/cm3
- Formation enthalpy at 0 K: 1456 meV per atom
- ΔE to the lowest computed polymorph: 4 kJ/mol of formula units
- Crystal system: cubic
- M_tot: 0.000 μB/atom
- Symmetry: Pm-3m, No. 221

extended XYZ file:
```
5
Lattice="4.8245 0.0000 0.0000 0.0000 4.8245 0.0000 0.0000 0.0000 4.8245" Properties=species:S:1:pos:R:3 pbc="T T T"
Sc 2.4122 2.4122 2.4122
Nb 0.0000 2.4122 0.0000
Nb 0.0000 0.0000 2.4122
Nb 2.4122 0.0000 0.0000
Mg 0.0000 0.0000 0.0000
```


Record 5
Here is crystalline Mg2ScNb at its relaxed geometry from Alexandria via LeMat-Bulk. Energies are from PBE.

Summary:
- Mass density: 3.78 g/cm3
- Formation enthalpy at 0 K: 240 meV per atom
- ΔE to the lowest computed polymorph: 0 kJ/mol of formula units
- Crystal system: cubic
- M_tot: 0.000 μB/atom
- Symmetry: Fm-3m, No. 225

extended XYZ file:
```
4
Lattice="0.0000 3.4456 3.4456 3.4456 0.0000 3.4456 3.4456 3.4456 0.0000" Properties=species:S:1:pos:R:3 pbc="T T T"
Sc 0.0000 0.0000 0.0000
Nb 3.4456 3.4456 3.4456
Mg 1.7228 1.7228 1.7228
Mg 5.1684 5.1684 5.1684
```


Record 6
Here is crystalline MgScNb2Si at its relaxed geometry from Alexandria via LeMat-Bulk. Energies are from PBE.

Summary:
- Mass density: 4.46 g/cm3
- Crystal system: tetragonal
- Raw total energy: -0.403 Ry/atom
- M_tot: 0.000 μB/atom
- Symmetry: P4/mmm, No. 123

extended XYZ file:
```
5
Lattice="4.7869 0.0000 0.0000 0.0000 4.6012 0.0000 0.0000 0.0000 4.7869" Properties=species:S:1:pos:R:3 pbc="T T T"
Sc 2.3934 2.3006 2.3934
Nb 0.0000 0.0000 2.3934
Nb 2.3934 0.0000 0.0000
Mg 0.0000 0.0000 0.0000
Si 0.0000 2.3006 0.0000
```


Record 7
Here is crystalline MgSc2NbSi at its relaxed geometry from Alexandria via LeMat-Bulk. Energies are from PBE.

Summary:
- Mass density: 3.10 g/cm3
- Crystal system: tetragonal
- Raw total energy: -0.401 Ry/atom
- M_tot: 0.000 μB/atom
- Symmetry: P4/mmm, No. 123

extended XYZ file:
```
5
Lattice="-3.8759 2.4301 2.1198 -1.9095 -4.3319 1.4747 2.5747 0.3363 4.3220" Properties=species:S:1:pos:R:3 pbc="T T T"
Sc 1.2873 0.1682 2.1610
Sc -1.9379 1.2151 1.0599
Nb 0.0000 0.0000 0.0000
Mg -1.6054 -0.7827 3.9582
Si -0.9548 -2.1660 0.7373
```


Record 8
Here is crystalline MgZrScNb at its relaxed geometry from Alexandria via LeMat-Bulk. Energies are from PBE.

Summary:
- Mass density: 5.01 g/cm3
- Formation enthalpy at 0 K: 144 meV per atom
- Crystal system: cubic
- M_tot: 0.134 μB/atom
- Symmetry: F-43m, No. 216

extended XYZ file:
```
4
Lattice="-0.0148 -3.3598 -3.5882 3.4212 -3.5289 -0.0769 -1.2436 -4.6510 0.9929" Properties=species:S:1:pos:R:3 pbc="T T T"
Sc 0.0000 0.0000 0.0000
Nb 1.6222 -8.6548 -2.0042
Mg 0.5407 -2.8849 -0.6681
Zr 1.0814 -5.7698 -1.3361
```


Record 9
Here is crystalline MgNb4Se8 at its relaxed geometry from Alexandria via LeMat-Bulk. Energies are from PBE.

Summary:
- Mass density: 5.85 g/cm3
- Crystal system: monoclinic
- Raw total energy: -0.460 Ry/atom
- M_tot: 0.000 μB/atom
- Symmetry: C2/m, No. 12

extended XYZ file:
```
13
Lattice="-0.6870 5.1097 -4.9250 -5.3929 -4.5402 1.0675 0.3939 3.4569 6.6517" Properties=species:S:1:pos:R:3 pbc="T T T"
Mg -2.4995 -0.5416 3.8596
Nb -1.2306 0.1153 -0.7808
Nb -4.8493 0.4543 -3.0767
Nb -4.3320 -2.3151 -0.2761
Nb -1.3540 6.3415 3.0704
Se -0.5445 4.3682 -1.8139
Se -2.9551 -0.4513 1.1459
Se -3.1756 1.9207 -1.4734
Se -0.3258 1.9558 0.8022
Se -5.3603 2.0706 1.9921
Se -2.5104 2.1057 4.2677
Se -2.7309 4.4777 1.6484
Se -5.1415 -0.3418 4.6082
```


Record 10
Here is crystalline MgNb2Se at its relaxed geometry from Alexandria via LeMat-Bulk. Energies are from PBE.

Summary:
- Mass density: 6.73 g/cm3
- ΔE to the lowest computed polymorph: 85 kJ/mol of formula units
- Crystal system: cubic
- M_tot: 0.000 μB/atom
- Symmetry: Fm-3m, No. 225

extended XYZ file:
```
4
Lattice="3.2619 -1.1316 -3.1231 2.5190 -3.8743 0.5647 -0.6528 -3.6349 -2.8349" Properties=species:S:1:pos:R:3 pbc="T T T"
Nb 1.2820 -2.1602 -1.3483
Nb 3.8461 -6.4806 -4.0450
Mg 0.0000 0.0000 0.0000
Se 2.5641 -4.3204 -2.6967
```


Record 11
Here is crystalline Mg3NbSe at its relaxed geometry from Alexandria via LeMat-Bulk. Energies are from PBE.

Summary:
- Mass density: 2.56 g/cm3
- ΔE to the lowest computed polymorph: 283 kJ/mol of formula units
- Crystal system: cubic
- M_tot: 0.642 μB/atom
- Symmetry: Pm-3m, No. 221

extended XYZ file:
```
5
Lattice="-0.3761 0.9752 -5.3100 -0.9860 -5.2457 -0.8936 -5.3080 0.9053 0.5423" Properties=species:S:1:pos:R:3 pbc="T T T"
Nb 0.0000 0.0000 0.0000
Mg -0.4930 -2.6229 -0.4468
Mg -2.6540 0.4526 0.2711
Mg -0.1881 0.4876 -2.6550
Se -3.3351 -1.6826 -2.8306
```


Record 12
Here is crystalline MgNbSe3 at its relaxed geometry from Alexandria via LeMat-Bulk. Energies are from PBE.

Summary:
- Mass density: 4.51 g/cm3
- ΔE to the lowest computed polymorph: 0 kJ/mol of formula units
- Crystal system: cubic
- M_tot: 0.000 μB/atom
- Symmetry: Pm-3m, No. 221

extended XYZ file:
```
5
Lattice="-4.6458 -1.8733 -0.7843 -0.2692 -1.3726 4.8735 -2.0129 4.5072 1.1582" Properties=species:S:1:pos:R:3 pbc="T T T"
Nb 0.0000 0.0000 0.0000
Mg -3.4640 0.6306 2.6238
Se -0.1346 -0.6863 2.4368
Se -1.0064 2.2536 0.5791
Se -2.3229 -0.9366 -0.3921
```


Record 13
Here is crystalline MgNb2Se at its relaxed geometry from Alexandria via LeMat-Bulk. Energies are from PBE.

Summary:
- Mass density: 6.23 g/cm3
- ΔE to the lowest computed polymorph: 0 kJ/mol of formula units
- Crystal system: tetragonal
- M_tot: 0.000 μB/atom
- Symmetry: I-42d, No. 122

extended XYZ file:
```
8
Lattice="3.9083 0.0000 0.0000 0.0000 3.9083 0.0000 1.9541 1.9541 10.0945" Properties=species:S:1:pos:R:3 pbc="T T T"
Nb 2.9323 0.9771 2.5236
Nb 0.9760 2.9312 2.5236
Nb 2.9312 2.9301 7.5708
Nb 4.8854 4.8864 7.5708
Mg 1.9541 1.9541 0.0000
Mg 1.9541 3.9083 5.0472
Se 0.0000 0.0000 0.0000
Se 3.9083 1.9541 5.0472
```


Record 14
Here is crystalline Mg3NbSe at its relaxed geometry from Alexandria via LeMat-Bulk. Energies are from PBE.

Summary:
- Mass density: 3.28 g/cm3
- ΔE to the lowest computed polymorph: 0 kJ/mol of formula units
- Crystal system: cubic
- M_tot: 0.597 μB/atom
- Symmetry: Pm-3m, No. 221

extended XYZ file:
```
5
Lattice="-0.2751 4.3219 -2.4698 -4.9465 -0.5147 -0.3497 -0.5581 2.4312 4.3165" Properties=species:S:1:pos:R:3 pbc="T T T"
Nb -2.8898 3.1193 0.7485
Mg -2.4732 -0.2573 -0.1748
Mg -0.2790 1.2156 2.1583
Mg -0.1375 2.1610 -1.2349
Se 0.0000 0.0000 0.0000
```